(1)
DFT (PBE-GGA) results for a geometry-optimized Ba11Sb10 structure.

Lattice parameters (Å, degrees): 13.571 13.571 13.571 123.60 121.02 86.06
Sites, in units of the cell vectors:
Ba 0.061 0.313 0.748
Ba 0.100 0.428 0.328
Ba 0.100 0.772 0.672
Ba 0.148 0.148 0.000
Ba 0.213 0.890 0.323
Ba 0.304 0.054 0.751
Ba 0.304 0.553 0.249
Ba 0.336 0.327 0.663
Ba 0.336 0.673 0.010
Ba 0.433 0.110 0.323
Ba 0.435 0.687 0.748
Ba 0.565 0.313 0.252
Ba 0.567 0.890 0.677
Ba 0.664 0.327 0.990
Ba 0.664 0.673 0.337
Ba 0.696 0.447 0.751
Ba 0.696 0.946 0.249
Ba 0.787 0.110 0.677
Ba 0.852 0.852 0.000
Ba 0.900 0.228 0.328
Ba 0.900 0.572 0.672
Ba 0.939 0.687 0.252
Sb 0.026 0.029 0.424
Sb 0.026 0.602 0.997
Sb 0.131 0.110 0.240
Sb 0.131 0.890 0.021
Sb 0.151 0.500 0.651
Sb 0.245 0.745 0.500
Sb 0.386 0.386 0.000
Sb 0.395 0.398 0.424
Sb 0.395 0.971 0.997
Sb 0.500 0.115 0.615
Sb 0.500 0.885 0.385
Sb 0.605 0.029 0.003
Sb 0.605 0.602 0.576
Sb 0.614 0.614 0.000
Sb 0.755 0.255 0.500
Sb 0.849 0.500 0.349
Sb 0.869 0.110 0.979
Sb 0.869 0.890 0.760
Sb 0.974 0.398 0.003
Sb 0.974 0.971 0.576

* formation energy without anion corrections: -1.010 eV per atom
* theoretical density: 5.3 g cm⁻³
* total magnetic moment: 0.00 μB/cell
* V: 1700.2 Å³ per cell

***

(2)
DFT (PBE-GGA) results for a geometry-optimized Ba2Sb structure.

Lattice parameters (Å, degrees): 5.236 5.236 9.628 90.00 90.00 90.00
Sites, in units of the cell vectors:
Ba 0.250 0.250 0.139
Ba 0.250 0.750 0.500
Ba 0.750 0.250 0.500
Ba 0.750 0.750 0.861
Sb 0.250 0.250 0.768
Sb 0.750 0.750 0.232

* formation energy without anion corrections: -0.821 eV per atom
* theoretical density: 5.0 g cm⁻³
* total magnetic moment: 1.97 μB/cell
* V: 264.0 Å³ per cell

***

(3)
DFT (PBE-GGA) results for a geometry-optimized Ba7Sb structure.

Lattice parameters (Å, degrees): 8.397 8.397 8.397 60.00 60.00 60.00
Sites, in units of the cell vectors:
Ba 0.000 0.000 0.000
Ba 0.000 0.000 0.500
Ba 0.000 0.500 0.000
Ba 0.000 0.500 0.500
Ba 0.500 0.000 0.000
Ba 0.500 0.000 0.500
Ba 0.500 0.500 0.000
Sb 0.500 0.500 0.500

* formation energy without anion corrections: -0.121 eV per atom
* theoretical density: 4.3 g cm⁻³
* total magnetic moment: 0.00 μB/cell
* V: 418.6 Å³ per cell

***

(4)
DFT (PBE-GGA) results for a geometry-optimized Ba5Sb structure.

Lattice parameters (Å, degrees): 7.984 7.984 10.526 112.45 112.45 32.94
Sites, in units of the cell vectors:
Ba 0.000 0.000 0.000
Ba 0.033 0.033 0.393
Ba 0.283 0.283 0.147
Ba 0.317 0.317 0.541
Ba 0.658 0.658 0.770
Sb 0.658 0.658 0.270

* energy relative to the lowest polymorph listed for this composition: 0 meV/atom
* formation energy without anion corrections: -0.346 eV per atom
* theoretical density: 4.0 g cm⁻³
* total magnetic moment: 0.00 μB/cell
* V: 334.7 Å³ per cell

***

(5)
DFT (PBE-GGA) results for a geometry-optimized Ba2Sb3 structure.

Lattice parameters (Å, degrees): 7.843 7.843 7.843 41.24 41.24 41.24
Sites, in units of the cell vectors:
Ba 0.094 0.094 0.094
Ba 0.906 0.906 0.906
Sb 0.343 0.343 0.343
Sb 0.500 0.500 0.500
Sb 0.657 0.657 0.657

* formation energy without anion corrections: -0.707 eV per atom
* theoretical density: 5.6 g cm⁻³
* total magnetic moment: 0.00 μB/cell
* V: 189.3 Å³ per cell

***

(6)
DFT (PBE-GGA) results for a geometry-optimized Ba2Sb structure.

Lattice parameters (Å, degrees): 6.318 6.318 6.318 136.69 136.69 62.91
Sites, in units of the cell vectors:
Ba 0.160 0.160 0.000
Ba 0.840 0.840 0.000
Sb 0.500 0.500 0.000

* formation energy without anion corrections: -0.677 eV per atom
* theoretical density: 5.6 g cm⁻³
* total magnetic moment: 0.00 μB/cell
* V: 117.2 Å³ per cell

***

(7)
DFT (PBE-GGA) results for a geometry-optimized Ba2Sb structure.

Lattice parameters (Å, degrees): 8.568 5.360 11.325 90.00 90.00 90.00
Sites, in units of the cell vectors:
Ba 0.050 0.250 0.180
Ba 0.140 0.250 0.563
Ba 0.360 0.750 0.063
Ba 0.450 0.750 0.680
Ba 0.550 0.250 0.320
Ba 0.640 0.250 0.937
Ba 0.860 0.750 0.437
Ba 0.950 0.750 0.820
Sb 0.226 0.250 0.872
Sb 0.274 0.750 0.372
Sb 0.726 0.250 0.628
Sb 0.774 0.750 0.128

* formation energy without anion corrections: -0.835 eV per atom
* theoretical density: 5.1 g cm⁻³
* total magnetic moment: 3.87 μB/cell
* V: 520.1 Å³ per cell

***

(8)
DFT (PBE-GGA) results for a geometry-optimized Ba2Sb structure.

Lattice parameters (Å, degrees): 7.189 7.189 7.189 112.49 112.49 103.59
Sites, in units of the cell vectors:
Ba 0.207 0.707 0.914
Ba 0.293 0.207 0.500
Ba 0.707 0.793 0.500
Ba 0.793 0.293 0.086
Sb 0.250 0.250 0.000
Sb 0.750 0.750 0.000

* formation energy without anion corrections: -0.769 eV per atom
* theoretical density: 4.6 g cm⁻³
* total magnetic moment: 0.01 μB/cell
* V: 283.8 Å³ per cell

***

(9)
DFT (PBE-GGA) results for a geometry-optimized Ba2Sb structure.

Lattice parameters (Å, degrees): 5.855 5.855 3.786 90.00 90.00 120.00
Sites, in units of the cell vectors:
Ba 0.333 0.667 0.000
Ba 0.667 0.333 0.000
Sb 0.000 0.000 0.500

* formation energy without anion corrections: -0.316 eV per atom
* theoretical density: 5.9 g cm⁻³
* total magnetic moment: 0.38 μB/cell
* V: 112.4 Å³ per cell

***

(10)
DFT (PBE-GGA) results for a geometry-optimized Ba3Sb5 structure.

Lattice parameters (Å, degrees): 10.337 10.337 6.465 90.00 90.00 120.00
Sites, in units of the cell vectors:
Ba 0.000 0.378 0.250
Ba 0.000 0.622 0.750
Ba 0.378 0.000 0.250
Ba 0.378 0.378 0.750
Ba 0.622 0.000 0.750
Ba 0.622 0.622 0.250
Sb 0.000 0.168 0.750
Sb 0.000 0.832 0.250
Sb 0.168 0.000 0.750
Sb 0.168 0.168 0.250
Sb 0.333 0.667 0.000
Sb 0.333 0.667 0.500
Sb 0.667 0.333 0.000
Sb 0.667 0.333 0.500
Sb 0.832 0.000 0.250
Sb 0.832 0.832 0.750

* energy relative to the lowest polymorph listed for this composition: 0 meV/atom
* formation energy without anion corrections: -0.598 eV per atom
* theoretical density: 5.7 g cm⁻³
* total magnetic moment: 0.00 μB/cell
* V: 598.3 Å³ per cell

***

(11)
DFT (PBE-GGA) results for a geometry-optimized Ba3Sb5 structure.

Lattice parameters (Å, degrees): 7.300 7.300 5.195 90.00 90.00 96.35
Sites, in units of the cell vectors:
Ba 0.000 0.000 0.000
Ba 0.276 0.724 0.500
Ba 0.724 0.276 0.500
Sb 0.000 0.500 0.000
Sb 0.249 0.249 0.500
Sb 0.500 0.000 0.000
Sb 0.500 0.500 0.000
Sb 0.751 0.751 0.500

* energy relative to the lowest polymorph listed for this composition: 2 meV/atom
* formation energy without anion corrections: -0.595 eV per atom
* theoretical density: 6.2 g cm⁻³
* total magnetic moment: 0.00 μB/cell
* V: 275.1 Å³ per cell

***

(12)
DFT (PBE-GGA) results for a geometry-optimized Ba2Sb structure.

Lattice parameters (Å, degrees): 8.459 8.459 8.459 150.05 150.05 42.87
Sites, in units of the cell vectors:
Ba 0.115 0.115 0.000
Ba 0.885 0.885 0.000
Sb 0.500 0.500 0.000

* formation energy without anion corrections: -0.718 eV per atom
* theoretical density: 4.4 g cm⁻³
* total magnetic moment: 0.69 μB/cell
* V: 150.5 Å³ per cell